The following is a PBE+U calculation of a geometry-optimized CoWS2O structure, from Alexandria.

```
CoWS2O
1.0
4.7030 0.0000 0.0000
0.0000 4.7030 0.0000
0.0000 0.0000 3.4904
Co W S O
1 1 2 1
Direct
0.0000 0.0000 0.0000
0.5000 0.5000 0.5000
0.0000 0.5000 0.0000
0.5000 0.0000 0.0000
0.0000 0.0000 0.5000
```

Output
**Energy**: -24.60 eV/cell
**Space-group type**: No. 123
**Total magnetization**: 5.6 μB per formula unit